No. 1
This record from Alexandria via LeMat-Bulk describes a geometry-optimized NbVN2 structure. The functional is PBE.

Output
As for the space-group type: No. 166. The uncorrected formation energy comes out at -0.888 eV per atom. For the total magnetic moment, the calculation gives 0.002 μB per formula unit.

a = 5.3019 Å, b = 5.3019 Å, c = 5.3019 Å
α = 33.16°, β = 33.16°, γ = 33.16°
With the nearest neighbours (Å) after each atom.
Fractional positions:
Nb1 0.0000 0.0000 0.0000  6 N 2.21
V1 0.5000 0.5000 0.5000  6 N 2.09
N1 0.2432 0.2432 0.2432  3 V 2.09, 3 Nb 2.21
N2 0.7568 0.7568 0.7568  3 V 2.09, 3 Nb 2.21

=====

No. 2
This record from Alexandria via LeMat-Bulk describes a geometry-optimized ThZnIr2 structure. The functional is PBE.

Output
As for the space-group type: No. 51. Its energy relative to the elements is 46 meV/atom. For the total magnetic moment, the calculation gives 0.000 μB per formula unit.

a = 5.8695 Å, b = 7.4099 Å, c = 8.3885 Å
α = 90.00°, β = 90.00°, γ = 90.00°
With the nearest neighbours (Å) after each atom.
Fractional positions:
Th1 0.2500 0.0000 0.2048  2 Ir 2.88, 2 Zn 2.94
Th2 0.2500 0.5000 0.2746  4 Ir 2.61-2.73
Th3 0.7500 0.0000 0.7952  2 Ir 2.88, 2 Zn 2.94
Th4 0.7500 0.5000 0.7254  4 Ir 2.61-2.73
Zn1 0.2500 0.0000 0.7693  4 Ir 2.69-2.98, 2 Th 2.94
Zn2 0.2500 0.5000 0.7655  4 Ir 2.45-2.50
Zn3 0.7500 0.0000 0.2307  4 Ir 2.69-2.98, 2 Th 2.94
Zn4 0.7500 0.5000 0.2345  4 Ir 2.45-2.50
Ir1 0.0000 0.0000 0.5000  6 Ir 2.65-2.93, 2 Zn 2.69, 2 Th 2.88
Ir2 0.0000 0.5000 0.0000  2 Zn 2.45, 2 Th 2.73
Ir3 0.2500 0.2961 0.5286  1 Zn 2.50, 1 Th 2.61, 2 Ir 2.65
Ir4 0.2500 0.7039 0.5286  1 Zn 2.50, 1 Th 2.61, 2 Ir 2.65
Ir5 0.5000 0.0000 0.5000  6 Ir 2.65-2.93, 2 Zn 2.69, 2 Th 2.88
Ir6 0.5000 0.5000 0.0000  2 Zn 2.45, 2 Th 2.73
Ir7 0.7500 0.2961 0.4714  1 Zn 2.50, 1 Th 2.61, 2 Ir 2.65
Ir8 0.7500 0.7039 0.4714  1 Zn 2.50, 1 Th 2.61, 2 Ir 2.65

=====

No. 3
This record from Alexandria via LeMat-Bulk describes a geometry-optimized YMgMn2Cu structure. The functional is PBE.

Output
As for the space-group type: No. 123. Its energy relative to the elements is 789 meV/atom. For the total magnetic moment, the calculation gives 7.117 μB per formula unit.

a = 4.7796 Å, b = 4.7796 Å, c = 4.5868 Å
α = 90.00°, β = 90.00°, γ = 90.00°
With the nearest neighbours (Å) after each atom.
Fractional positions:
Y1 0.0000 0.0000 0.0000  8 Mn 3.31, 4 Cu 3.38
Mg1 0.5000 0.5000 0.5000  2 Cu 2.29, 4 Mn 2.39
Mn1 0.0000 0.5000 0.5000  2 Mg 2.39
Mn2 0.5000 0.0000 0.5000  2 Mg 2.39
Cu1 0.5000 0.5000 0.0000  2 Mg 2.29

=====

No. 4
This record from Alexandria via LeMat-Bulk describes a geometry-optimized Cs2SbRu structure. The functional is PBE.

Output
As for the space-group type: No. 122. The uncorrected formation energy comes out at 0.324 eV per atom. For the total magnetic moment, the calculation gives 1.004 μB per formula unit.

a = 9.8919 Å, b = 9.8919 Å, c = 9.8919 Å
α = 93.75°, β = 93.75°, γ = 150.38°
With the nearest neighbours (Å) after each atom.
Fractional positions:
Cs1 0.3750 0.1666 0.2916  2 Ru 3.49
Cs2 0.8334 0.1250 0.2084  2 Ru 3.49
Cs3 0.8750 0.0834 0.7084  2 Ru 3.49
Cs4 0.9166 0.6250 0.7916  2 Ru 3.49
Sb1 0.2500 0.7500 0.5000  2 Ru 2.53
Sb2 0.5000 0.5000 0.0000  2 Ru 2.53
Ru1 0.0000 0.0000 0.0000  2 Sb 2.53
Ru2 0.7500 0.2500 0.5000  2 Sb 2.53

=====

No. 5
This record from Alexandria via LeMat-Bulk describes a geometry-optimized KNb2Bi structure. The functional is PBE.

Output
As for the space-group type: No. 122. Its energy relative to the elements is 1306 meV/atom. For the total magnetic moment, the calculation gives 0.000 μB per formula unit.

a = 6.7220 Å, b = 6.7220 Å, c = 6.7220 Å
α = 101.12°, β = 101.12°, γ = 127.90°
With the nearest neighbours (Å) after each atom.
Fractional positions:
K1 0.0000 0.0000 0.0000  2 Bi 2.95
K2 0.7500 0.2500 0.5000  2 Bi 2.95
Nb1 0.1704 0.1250 0.5454  2 Bi 2.86, 2 Nb 3.05
Nb2 0.3750 0.8296 0.9546  2 Bi 2.86, 2 Nb 3.05
Nb3 0.5796 0.6250 0.4546  2 Bi 2.86, 2 Nb 3.05
Nb4 0.8750 0.4204 0.0454  2 Bi 2.86, 2 Nb 3.05
Bi1 0.2500 0.7500 0.5000  4 Nb 2.86, 2 K 2.95
Bi2 0.5000 0.5000 0.0000  4 Nb 2.86, 2 K 2.95

=====

No. 6
This record from Alexandria via LeMat-Bulk describes a geometry-optimized Sm3Ge3Os structure. The functional is PBE.

Output
As for the space-group type: No. 12. Its energy relative to the elements is -715 meV/atom. For the total magnetic moment, the calculation gives 0.000 μB per formula unit.

a = 5.9307 Å, b = 5.9307 Å, c = 14.1344 Å
α = 109.54°, β = 109.54°, γ = 43.05°
With the nearest neighbours (Å) after each atom.
Fractional positions:
Sm1 0.0207 0.0207 0.3765  6 Ge 2.99-3.24, 4 Os 3.16-3.26
Sm2 0.0994 0.0994 0.9197  7 Ge 3.03-3.28
Sm3 0.2432 0.2432 0.2314  5 Ge 2.97-3.09
Sm4 0.7568 0.7568 0.7686  5 Ge 2.97-3.09
Sm5 0.9006 0.9006 0.0803  7 Ge 3.03-3.28
Sm6 0.9793 0.9793 0.6235  6 Ge 2.99-3.24, 4 Os 3.16-3.26
Ge1 0.3609 0.3609 0.4561  3 Os 2.49-2.52
Ge2 0.3804 0.3804 0.9265  2 Ge 2.71-2.74, 2 Sm 3.03
Ge3 0.4506 0.4506 0.7592  1 Os 2.61, 1 Ge 2.74
Ge4 0.5494 0.5494 0.2408  1 Os 2.61, 1 Ge 2.74
Ge5 0.6196 0.6196 0.0735  2 Ge 2.71-2.74, 2 Sm 3.03
Ge6 0.6391 0.6391 0.5439  3 Os 2.49-2.52
Os1 0.2549 0.2549 0.5870  4 Ge 2.49-2.61
Os2 0.7451 0.7451 0.4130  4 Ge 2.49-2.61

=====

No. 7
This record from Alexandria via LeMat-Bulk describes a geometry-optimized LaTb3Sm6 structure. The functional is PBE.

Output
The excess energy over the best structure of this formula in the dataset comes out at 1.032 eV per formula unit. As for the space-group type: No. 155. Its energy relative to the elements is 249 meV/atom. For the total magnetic moment, the calculation gives 0.000 μB per formula unit.

a = 6.9888 Å, b = 6.9888 Å, c = 6.9888 Å
α = 90.99°, β = 90.99°, γ = 90.99°
With the nearest neighbours (Å) after each atom.
Fractional positions:
La1 0.0000 0.0000 0.0000  2 Tb 3.02, 3 Sm 3.28
Tb1 0.2537 0.2537 0.2537  1 Tb 2.93, 1 La 3.02
Tb2 0.5000 0.5000 0.5000  2 Tb 2.93, 3 Sm 3.25
Tb3 0.7463 0.7463 0.7463  1 Tb 2.93, 1 La 3.02
Sm1 0.0000 0.3292 0.6708  1 La 3.28, 2 Tb 3.48
Sm2 0.1744 0.8256 0.5000  3 Tb 3.25-3.52
Sm3 0.3292 0.6708 0.0000  1 La 3.28, 2 Tb 3.48
Sm4 0.5000 0.1744 0.8256  3 Tb 3.25-3.52
Sm5 0.6708 0.0000 0.3292  1 La 3.28, 2 Tb 3.48
Sm6 0.8256 0.5000 0.1744  3 Tb 3.25-3.52

=====

No. 8
This record from Alexandria via LeMat-Bulk describes a geometry-optimized KIn2NiSn structure. The functional is PBE.

Output
As for the space-group type: No. 123. Its energy relative to the elements is -57 meV/atom. For the total magnetic moment, the calculation gives 0.000 μB per formula unit.

a = 5.1181 Å, b = 5.1181 Å, c = 5.1293 Å
α = 90.00°, β = 90.00°, γ = 90.00°
With the nearest neighbours (Å) after each atom.
Fractional positions:
K1 0.0000 0.0000 0.0000  4 Sn 3.62, 8 In 3.62
In1 0.0000 0.5000 0.5000  2 Ni 2.56
In2 0.5000 0.0000 0.5000  2 Ni 2.56
Ni1 0.5000 0.5000 0.5000  4 In 2.56, 2 Sn 2.56
Sn1 0.5000 0.5000 0.0000  2 Ni 2.56

=====

No. 9
This record from Alexandria via LeMat-Bulk describes a geometry-optimized Y2Ho3TmS6 structure. The functional is PBE.

Output
As for the space-group type: No. 12. The uncorrected formation energy comes out at -1.974 eV per atom. For the total magnetic moment, the calculation gives 0.000 μB per formula unit.

a = 8.6837 Å, b = 8.6837 Å, c = 7.8040 Å
α = 103.08°, β = 103.08°, γ = 25.82°
With the nearest neighbours (Å) after each atom.
Fractional positions:
Y1 0.1673 0.1673 0.3345  6 S 2.75-2.77
Y2 0.8327 0.8327 0.6655  6 S 2.75-2.77
Ho1 0.1679 0.1679 0.8329  6 S 2.73-2.75
Ho2 0.5000 0.5000 0.5000  6 S 2.73-2.77
Ho3 0.8321 0.8321 0.1671  6 S 2.73-2.75
Tm1 0.5000 0.5000 0.0000  6 S 2.72-2.73
S1 0.0010 0.0010 0.7536  2 Tm 2.73, 3 Ho 2.75-2.77, 1 Y 2.77
S2 0.3343 0.3343 0.4150  3 Ho 2.73, 3 Y 2.75-2.76
S3 0.3349 0.3349 0.9198  1 Tm 2.72, 3 Ho 2.74-2.75, 2 Y 2.77
S4 0.6651 0.6651 0.0802  1 Tm 2.72, 3 Ho 2.74-2.75, 2 Y 2.77
S5 0.6657 0.6657 0.5850  3 Ho 2.73, 3 Y 2.75-2.76
S6 0.9990 0.9990 0.2464  2 Tm 2.73, 3 Ho 2.75-2.77, 1 Y 2.77

=====

No. 10
This record from Alexandria via LeMat-Bulk describes a geometry-optimized Tm5NpSb6 structure. The functional is PBE.

Output
As for the space-group type: No. 12. The uncorrected formation energy comes out at -0.914 eV per atom. For the total magnetic moment, the calculation gives 3.777 μB per formula unit.

a = 7.5338 Å, b = 7.5338 Å, c = 7.5359 Å
α = 99.59°, β = 99.59°, γ = 120.00°
With the nearest neighbours (Å) after each atom.
Fractional positions:
Tm1 0.0000 0.0000 0.0000  6 Sb 3.06-3.07
Tm2 0.1670 0.8330 0.5000  6 Sb 3.07-3.08
Tm3 0.3345 0.6655 0.0000  6 Sb 3.06-3.07
Tm4 0.6655 0.3345 0.0000  6 Sb 3.06-3.07
Tm5 0.8330 0.1670 0.5000  6 Sb 3.07-3.08
Np1 0.5000 0.5000 0.5000  6 Sb 3.09-3.10
Sb1 0.0804 0.4158 0.2478  5 Tm 3.06-3.08, 1 Np 3.10
Sb2 0.2476 0.2476 0.7501  5 Tm 3.06-3.07, 1 Np 3.09
Sb3 0.4158 0.0804 0.2478  5 Tm 3.06-3.08, 1 Np 3.10
Sb4 0.5842 0.9196 0.7522  5 Tm 3.06-3.08, 1 Np 3.10
Sb5 0.7524 0.7524 0.2499  5 Tm 3.06-3.07, 1 Np 3.09
Sb6 0.9196 0.5842 0.7522  5 Tm 3.06-3.08, 1 Np 3.10

=====

No. 11
This record from Alexandria via LeMat-Bulk describes a geometry-optimized LiCd2InHg4 structure. The functional is PBE.

Output
As for the space-group type: No. 74. Its energy relative to the elements is -49 meV/atom. For the total magnetic moment, the calculation gives 0.000 μB per formula unit.

a = 8.4963 Å, b = 8.4963 Å, c = 8.4963 Å
α = 131.78°, β = 109.21°, γ = 90.27°
With the nearest neighbours (Å) after each atom.
Fractional positions:
Li1 0.5000 0.0000 0.0000  6 Hg 2.89-2.92
Li2 0.5000 0.5000 0.5000  6 Hg 2.89-2.92
Cd1 0.0000 0.0000 0.0000  6 Hg 2.97-2.98
Cd2 0.0000 0.0000 0.5000  6 Hg 3.08-3.13
Cd3 0.0000 0.5000 0.0000  6 Hg 3.08-3.13
Cd4 0.5000 0.0000 0.5000  6 Hg 2.97-2.98
In1 0.0000 0.5000 0.5000  6 Hg 3.03-3.04
In2 0.5000 0.5000 0.0000  6 Hg 3.03-3.04
Hg1 0.2568 0.2489 0.4921  1 Li 2.92, 3 Cd 2.98-3.08, 2 In 3.04
Hg2 0.2568 0.7647 0.0079  1 Li 2.92, 3 Cd 2.98-3.08, 2 In 3.04
Hg3 0.2628 0.2478 0.0151  2 Li 2.89, 3 Cd 2.97-3.13, 1 In 3.03
Hg4 0.2673 0.7522 0.5151  2 Li 2.89, 3 Cd 2.97-3.13, 1 In 3.03
Hg5 0.7327 0.2478 0.4849  2 Li 2.89, 3 Cd 2.97-3.13, 1 In 3.03
Hg6 0.7372 0.7522 0.9849  2 Li 2.89, 3 Cd 2.97-3.13, 1 In 3.03
Hg7 0.7432 0.2353 0.9921  1 Li 2.92, 3 Cd 2.98-3.08, 2 In 3.04
Hg8 0.7432 0.7511 0.5079  1 Li 2.92, 3 Cd 2.98-3.08, 2 In 3.04

=====

What is the total magnetic moment in the third record? 7.117 μB per formula unit